1.
# FeAg2 (PBE-GGA, relaxed)
# density	9.21	g/cm3
# electronic total energy	-4.2655	eV per atom
# DFT formation energy	0.456	eV/atom
data_FeAg2
_cell_length_a 4.5366
_cell_length_b 4.5366
_cell_length_c 5.4920
_cell_angle_alpha 90.00
_cell_angle_beta 90.00
_cell_angle_gamma 120.00
_symmetry_space_group_name_H-M 'P 63/m m c'
_symmetry_Int_Tables_number 194
_symmetry_space_group_name_Hall '-P 6c 2c'
loop_
_atom_site_label
_atom_site_fract_x
_atom_site_fract_y
_atom_site_fract_z
_atom_site_occupancy
Fe1 0.3333 0.6667 0.2500 1
Ag1 0.0000 0.0000 0.0000 1
Ag2 0.3333 0.6667 0.7500 1



2.
# Zr2TlAs (PBE-GGA, relaxed)
# density	8.31	g/cm3
# electronic total energy	-6.4320	eV per atom
# DFT formation energy	-0.404	eV/atom
# polymorph energy (0 for the lowest one)	178	meV/atom
data_Zr2TlAs
_cell_length_a 4.033
_cell_length_b 4.033
_cell_length_c 5.675
_cell_angle_alpha 90.00
_cell_angle_beta 90.00
_cell_angle_gamma 90.00
_symmetry_space_group_name_H-M 'P 4/m m m'
_symmetry_Int_Tables_number 123
_symmetry_space_group_name_Hall '-P 4 2'
loop_
_atom_site_label
_atom_site_fract_x
_atom_site_fract_y
_atom_site_fract_z
_atom_site_occupancy
Zr1 0.000 0.000 0.000 1
Zr2 0.500 0.500 0.500 1
Tl1 0.000 0.000 0.500 1
As1 0.500 0.500 0.000 1



3.
# BeCoAu (PBE-GGA, relaxed)
# density	11.67	g/cm3
# electronic total energy	-4.5560	eV per atom
# DFT formation energy	0.147	eV/atom
# polymorph energy (0 for the lowest one)	132	meV/atom
data_BeCoAu
_cell_length_a 2.765
_cell_length_b 3.877
_cell_length_c 7.032
_cell_angle_alpha 90.00
_cell_angle_beta 90.00
_cell_angle_gamma 90.00
_symmetry_space_group_name_H-M 'P m m m'
_symmetry_Int_Tables_number 47
loop_
_symmetry_equiv_pos_as_xyz
'x,y,z'
'-x,-y,-z'
'-x,-y,z'
'x,y,-z'
'x,-y,-z'
'-x,y,z'
'-x,y,-z'
'x,-y,z'
loop_
_atom_site_label
_atom_site_fract_x
_atom_site_fract_y
_atom_site_fract_z
_atom_site_occupancy
Be1 0.000 0.000 0.175 1
Co1 0.000 0.500 0.331 1
Au1 0.500 0.000 0.500 1
Au2 0.500 0.500 0.000 1



4.
# Pa2ReW (PBE-GGA, relaxed)
# density	16.48	g/cm3
# electronic total energy	-10.8775	eV per atom
# DFT formation energy	0.221	eV/atom
# polymorph energy (0 for the lowest one)	0	meV/atom
data_Pa2ReW
_cell_length_a 6.947
_cell_length_b 6.947
_cell_length_c 6.947
_cell_angle_alpha 90.00
_cell_angle_beta 90.00
_cell_angle_gamma 90.00
_symmetry_space_group_name_H-M 'F m -3 m'
_symmetry_Int_Tables_number 225
_symmetry_space_group_name_Hall '-F 4 2 3'
loop_
_atom_site_label
_atom_site_fract_x
_atom_site_fract_y
_atom_site_fract_z
_atom_site_occupancy
Pa1 0.250 0.250 0.250 1
Re1 0.000 0.000 0.000 1
W1 0.000 0.000 0.500 1



5.
# BeTl2Ag (PBE-GGA, relaxed)
# density	9.73	g/cm3
# electronic total energy	-2.2359	eV per atom
# DFT formation energy	0.592	eV/atom
data_BeTl2Ag
_cell_length_a 7.105
_cell_length_b 7.105
_cell_length_c 7.105
_cell_angle_alpha 90.00
_cell_angle_beta 90.00
_cell_angle_gamma 90.00
_symmetry_space_group_name_H-M 'F -4 3 m'
_symmetry_Int_Tables_number 216
_symmetry_space_group_name_Hall 'F -4 2 3'
loop_
_atom_site_label
_atom_site_fract_x
_atom_site_fract_y
_atom_site_fract_z
_atom_site_occupancy
Be1 0.000 0.000 0.000 1
Tl1 0.000 0.000 0.500 1
Tl2 0.250 0.250 0.250 1
Ag1 0.250 0.250 0.750 1



6.
# Er6Pb2C (PBE-GGA, relaxed)
# density	10.32	g/cm3
# electronic total energy	-5.2943	eV per atom
# DFT formation energy	-0.403	eV/atom
# polymorph energy (0 for the lowest one)	0	meV/atom
data_Er6Pb2C
_cell_length_a 9.728
_cell_length_b 9.728
_cell_length_c 9.728
_cell_angle_alpha 90.00
_cell_angle_beta 90.00
_cell_angle_gamma 90.00
_symmetry_space_group_name_H-M 'F m -3 m'
_symmetry_Int_Tables_number 225
_symmetry_space_group_name_Hall '-F 4 2 3'
loop_
_atom_site_label
_atom_site_fract_x
_atom_site_fract_y
_atom_site_fract_z
_atom_site_occupancy
Er1 0.000 0.000 0.245 1
Pb1 0.250 0.250 0.250 1
C1 0.000 0.000 0.000 1



7.
# Rb3Tl9Au2 (PBE-GGA, relaxed)
# density	8.68	g/cm3
# electronic total energy	-2.2697	eV per atom
# DFT formation energy	-0.073	eV/atom
data_Rb3Tl9Au2
_cell_length_a 5.158
_cell_length_b 12.345
_cell_length_c 14.967
_cell_angle_alpha 90.00
_cell_angle_beta 90.00
_cell_angle_gamma 90.00
_symmetry_space_group_name_H-M 'I m m m'
_symmetry_Int_Tables_number 71
_symmetry_space_group_name_Hall '-I 2 2'
loop_
_atom_site_label
_atom_site_fract_x
_atom_site_fract_y
_atom_site_fract_z
_atom_site_occupancy
Rb1 0.000 0.000 0.000 1
Rb2 0.000 0.000 0.319 1
Tl1 0.000 0.283 0.115 1
Tl2 0.000 0.356 0.324 1
Tl3 0.000 0.500 0.000 1
Au1 0.000 0.238 0.500 1



8.
# Na2ZrGeO (PBE-GGA, relaxed)
# density	2.44	g/cm3
# formation energy without anion corrections	-0.090	eV/atom
# electronic total energy	-4.2427	eV per atom
data_Na2ZrGeO
_cell_length_a 6.240
_cell_length_b 6.240
_cell_length_c 3.950
_cell_angle_alpha 90.00
_cell_angle_beta 90.00
_cell_angle_gamma 90.00
_symmetry_space_group_name_H-M 'P 4/m m m'
_symmetry_Int_Tables_number 123
_symmetry_space_group_name_Hall '-P 4 2'
loop_
_atom_site_label
_atom_site_fract_x
_atom_site_fract_y
_atom_site_fract_z
_atom_site_occupancy
Na1 0.000 0.500 0.000 1
Zr1 0.000 0.000 0.000 1
Ge1 0.500 0.500 0.500 1
O1 0.000 0.000 0.500 1